A plane-wave DFT calculation with PBE-GGA was carried out for a relaxed structure of LaWAu2.

Cell: 2.9804 4.0154 7.0093 Å, 90.00 90.00 90.00°
Closest atoms and distances in Å follow each position.
Fractional coordinates of all 4 atoms:
Au1 0.0000 0.0000 0.5494  3 Au 2.81-2.98, 4 W 2.87
Au2 0.0000 0.0000 0.9506  3 Au 2.81-2.98, 4 W 2.87
W1 0.5000 0.5000 0.7500  8 Au 2.87, 2 W 2.98
La1 0.5000 0.5000 0.2500  2 La 2.98, 8 Au 3.26

Properties
For the density of states at the Fermi level, the calculation gives 1.000 states/eV/atom. Its polymorph energy (0 for the lowest one) is 0.008 eV/atom. Its space-group type is Pmmm (47). The size of the total moment is 0.5 μB per formula unit. The value obtained for the formation energy from the elements is 3.3 kcal/mol of atoms. The calculation puts the uncorrected energy at -5.967 eV per atom.

A plane-wave DFT calculation with PBE-GGA was carried out for a relaxed structure of LaAs12Ru4.

Cell: 7.4525 7.4525 7.4525 Å, 109.47 109.47 109.47°
Closest atoms and distances in Å follow each position.
Fractional coordinates of all 17 atoms:
As1 0.1506 0.6503 0.8009  2 Ru 2.47, 2 As 2.59
As2 0.3497 0.5003 0.1506  2 Ru 2.47, 2 As 2.59
As3 0.8494 0.3497 0.1991  2 Ru 2.47, 2 As 2.59
As4 0.8494 0.6503 0.4997  2 Ru 2.47, 2 As 2.59
As5 0.6503 0.8009 0.1506  2 Ru 2.47, 2 As 2.59
As6 0.5003 0.1506 0.3497  2 Ru 2.47, 2 As 2.59
As7 0.3497 0.1991 0.8494  2 Ru 2.47, 2 As 2.59
As8 0.4997 0.8494 0.6503  2 Ru 2.47, 2 As 2.59
As9 0.6503 0.4997 0.8494  2 Ru 2.47, 2 As 2.59
As10 0.1506 0.3497 0.5004  2 Ru 2.47, 2 As 2.59
As11 0.1991 0.8494 0.3497  2 Ru 2.47, 2 As 2.59
As12 0.8009 0.1506 0.6503  2 Ru 2.47, 2 As 2.59
Ru1 0.0000 0.5000 0.0000  6 As 2.47
Ru2 0.5000 0.0000 0.0000  6 As 2.47
Ru3 0.5000 0.5000 0.5000  6 As 2.47
Ru4 0.0000 0.0000 0.5000  6 As 2.47
La1 0.0000 0.0000 0.0000  12 As 3.28

Properties
For the density of states at the Fermi level, the calculation gives 0.477 states/eV/atom. Its space-group type is Im-3 (204). The size of the total moment is 0.0 μB per formula unit. The value obtained for the formation energy from the elements is -11.4 kcal/mol of atoms. The calculation puts the uncorrected energy at -6.250 eV per atom.

A plane-wave DFT calculation with PBE-GGA was carried out for a relaxed structure of ZrAgBi2S5.

Cell: 3.7610 8.6540 13.4963 Å, 89.98 90.00 102.56°
Closest atoms and distances in Å follow each position.
Fractional coordinates of all 18 atoms:
S1 0.0602 0.1203 0.0656  1 Zr 2.46, 2 Ag 2.56
S2 0.4909 0.9832 0.7803  1 Ag 2.48, 2 Bi 2.71
S3 0.5092 0.0170 0.2803  1 Ag 2.48, 2 Bi 2.71
S4 0.2853 0.5707 0.3994  1 Ag 2.54, 2 Zr 2.57
S5 0.7344 0.4689 0.1623  2 Zr 2.67, 1 Bi 2.79
S6 0.6323 0.2648 0.5001  2 Bi 2.74, 1 Zr 2.81
S7 0.3677 0.7352 0.0000  2 Bi 2.74, 1 Zr 2.81
S8 0.9398 0.8796 0.5656  1 Zr 2.46, 2 Ag 2.56
S9 0.7147 0.4294 0.8994  1 Ag 2.54, 2 Zr 2.57
S10 0.2656 0.5310 0.6623  2 Zr 2.67, 1 Bi 2.79
Zr1 0.2027 0.4054 0.0281  5 S 2.46-2.67
Zr2 0.7973 0.5946 0.5281  5 S 2.46-2.67
Bi1 0.8777 0.7572 0.8087  3 S 2.71-3.03
Bi2 0.8984 0.7971 0.1422  4 S 2.74-2.92
Bi3 0.1015 0.2028 0.6422  4 S 2.74-2.92
Bi4 0.1224 0.2429 0.3087  3 S 2.71-3.03
Ag1 0.5672 0.1347 0.9373  4 S 2.48-2.56
Ag2 0.4328 0.8653 0.4373  4 S 2.48-2.56

Properties
For the density of states at the Fermi level, the calculation gives 0.260 states/eV/atom. Its space-group type is Cmc2_1 (36). The size of the total moment is 0.0 μB per formula unit. The calculation puts the uncorrected energy at -4.990 eV per atom. The calculation puts the uncorrected formation energy at -493 kJ/mol of formula units.

A plane-wave DFT calculation with PBE-GGA was carried out for a relaxed structure of Ho2Al3Ga2.

Cell: 4.1649 5.6018 6.5735 Å, 99.50 90.00 111.82°
Closest atoms and distances in Å follow each position.
Fractional coordinates of all 7 atoms:
Al1 0.6980 0.3960 0.8656  2 Ga 2.64, 2 Al 2.82
Al2 0.3020 0.6040 0.1344  2 Ga 2.64, 2 Al 2.82
Al3 0.0000 0.0000 0.0000  2 Ga 2.68
Ho1 0.3815 0.7630 0.6746  5 Ga 2.95-3.08, 5 Al 3.08-3.27
Ho2 0.6185 0.2370 0.3254  5 Ga 2.95-3.08, 5 Al 3.08-3.27
Ga1 0.0956 0.1911 0.6474  1 Ga 2.52, 3 Al 2.64-2.68
Ga2 0.9044 0.8089 0.3526  1 Ga 2.52, 3 Al 2.64-2.68

Properties
For the density of states at the Fermi level, the calculation gives 0.486 states/eV/atom. Its polymorph energy (0 for the lowest one) is 0.000 eV/atom. Its space-group type is C2/m (12). The size of the total moment is 0.0 μB per formula unit. The value obtained for the formation energy from the elements is -11.0 kcal/mol of atoms. The calculation puts the uncorrected energy at -4.255 eV per atom.

A plane-wave DFT calculation with PBE-GGA was carried out for a relaxed structure of KBa2Pa2O7.

Cell: 3.8962 6.3864 10.4799 Å, 107.74 100.82 89.99°
Closest atoms and distances in Å follow each position.
Fractional coordinates of all 12 atoms:
O1 0.2857 0.1476 0.5742  1 Pa 2.17
O2 0.1300 0.7454 0.2575  2 Pa 2.27
O3 0.7144 0.5735 0.4258  1 Pa 2.17
O4 0.4999 0.5528 0.0000  2 Pa 2.17
O5 0.8699 0.4877 0.7425  2 Pa 2.27
O6 0.5877 0.2240 0.1746  1 Pa 2.03
O7 0.4123 0.0493 0.8254  1 Pa 2.03
Pa1 0.3931 0.3432 0.7885  5 O 2.03-2.27
Pa2 0.6069 0.5549 0.2115  5 O 2.03-2.27
Ba1 0.7011 0.1432 0.4061  4 O 2.59-2.69
Ba2 0.2990 0.7370 0.5939  4 O 2.59-2.69
K1 0.0000 0.9411 0.0000  6 O 2.88-3.15

Properties
For the density of states at the Fermi level, the calculation gives 0.207 states/eV/atom. Its space-group type is C2 (5). The size of the total moment is 0.8 μB per formula unit. The calculation puts the uncorrected energy at -7.828 eV per atom. The calculation puts the uncorrected formation energy at -3405 kJ/mol of formula units.

A plane-wave DFT calculation with PBE-GGA was carried out for a relaxed structure of SrAlCu2Si.

Cell: 4.1431 4.1698 6.1177 Å, 109.93 109.79 90.00°
Closest atoms and distances in Å follow each position.
Fractional coordinates of all 5 atoms:
Cu1 0.0539 0.0539 0.1078  1 Si 2.45, 2 Al 2.53, 2 Cu 2.62
Cu2 0.7039 0.2039 0.4077  2 Si 2.46, 2 Cu 2.62
Sr1 0.4415 0.4415 0.8829  8 Cu 3.18-3.50, 4 Si 3.19, 4 Al 3.36-3.43
Al1 0.1877 0.6877 0.3754  2 Cu 2.53, 2 Si 2.54
Si1 0.8252 0.8252 0.6505  3 Cu 2.45-2.46, 2 Al 2.54

Properties
For the density of states at the Fermi level, the calculation gives 0.428 states/eV/atom. Its space-group type is Imm2 (44). The size of the total moment is 0.0 μB per formula unit. The calculation puts the uncorrected energy at -4.091 eV per atom. The calculation puts the uncorrected formation energy at -136 kJ/mol of formula units.

A plane-wave DFT calculation with PBE-GGA was carried out for a relaxed structure of BaPaPt.

Cell: 5.3125 3.7571 13.1406 Å, 90.00 90.00 134.99°
Closest atoms and distances in Å follow each position.
Fractional coordinates of all 6 atoms:
Pt1 0.6932 0.3864 0.0000  8 Pa 2.99
Pt2 0.1958 0.3916 0.5000  8 Ba 3.26-3.27
Pa1 0.1933 0.3867 0.1047  1 Pa 2.75, 4 Pt 2.99
Pa2 0.1933 0.3867 0.8953  1 Pa 2.75, 4 Pt 2.99
Ba1 0.6955 0.3909 0.3556  4 Pt 3.26-3.27
Ba2 0.6955 0.3909 0.6444  4 Pt 3.26-3.27

Properties
For the density of states at the Fermi level, the calculation gives 1.689 states/eV/atom. Its space-group type is Amm2 (38). The size of the total moment is 0.7 μB per formula unit. The value obtained for the formation energy from the elements is -5.3 kcal/mol of atoms. The calculation puts the uncorrected energy at -6.050 eV per atom.

A plane-wave DFT calculation with PBE-GGA was carried out for a relaxed structure of Li2CuSn.

Cell: 3.0523 3.0523 9.8849 Å, 81.12 81.12 60.00°
Closest atoms and distances in Å follow each position.
Fractional coordinates of all 4 atoms:
Sn1 0.0000 0.0000 0.0000  2 Li 2.87, 6 Sn 3.05
Li1 0.0984 0.0984 0.7048  3 Cu 2.66, 1 Sn 2.87
Li2 0.9016 0.9016 0.2952  3 Cu 2.66, 1 Sn 2.87
Cu1 0.5000 0.5000 0.5000  6 Li 2.66

Properties
For the density of states at the Fermi level, the calculation gives 0.324 states/eV/atom. Its space-group type is R-3m (166). The size of the total moment is 0.0 μB per formula unit. The value obtained for the formation energy from the elements is 2.7 kcal/mol of atoms. The calculation puts the uncorrected energy at -2.866 eV per atom.